1.
{"formula": "CoP2AuO8", "functional": "PBE+U", "state": "relaxed", "magmom_total_mub_per_cell": 2.1, "spacegroup": "R-3", "e_tot_ev_per_atom": -6.106, "cell": [[-2.139, -3.873, -1.315], [2.304, -3.998, -0.072], [-1.956, -3.910, 6.600]], "species": ["P", "P", "Co", "O", "O", "O", "O", "O", "O", "O", "O", "Au"], "fractional_positions": [[0.738, 0.738, 0.786], [0.262, 0.262, 0.214], [0.000, 0.000, 0.000], [0.974, 0.614, 0.151], [0.261, 0.974, 0.151], [0.026, 0.386, 0.849], [0.614, 0.261, 0.151], [0.808, 0.808, 0.576], [0.386, 0.739, 0.849], [0.739, 0.026, 0.849], [0.192, 0.192, 0.424], [0.500, 0.500, 0.500]]}

=====

2.
{"formula": "PaCoAu2O8", "functional": "PBE+U", "state": "relaxed", "magmom_total_mub_per_cell": 3.0, "spacegroup": "I-4m2", "e_tot_ev_per_atom": -5.866, "cell": [[-4.537, -3.049, 2.443], [-0.681, 0.127, -5.947], [5.181, -2.672, 1.369]], "species": ["Au", "Au", "O", "O", "O", "O", "O", "O", "O", "O", "Co", "Pa"], "fractional_positions": [[0.750, 0.250, 0.500], [0.500, 0.500, 0.000], [0.539, 0.727, 0.812], [0.273, 0.086, 0.812], [0.686, 0.013, 0.673], [0.987, 0.314, 0.327], [0.987, 0.660, 0.673], [0.914, 0.727, 0.188], [0.340, 0.013, 0.327], [0.273, 0.461, 0.188], [0.250, 0.750, 0.500], [0.000, 0.000, 0.000]]}

=====

3.
{"formula": "PaCoAuO6", "functional": "PBE+U", "state": "relaxed", "magmom_total_mub_per_cell": 5.9, "spacegroup": "P-31c", "e_tot_ev_per_atom": -6.742, "cell": [[-0.072, 3.426, 4.104], [-4.378, -2.824, -1.202], [2.715, -6.559, 5.523]], "species": ["O", "O", "O", "O", "O", "O", "O", "O", "O", "O", "O", "O", "Pa", "Pa", "Co", "Co", "Au", "Au"], "fractional_positions": [[0.664, 0.985, 0.874], [0.322, 0.336, 0.874], [0.322, 0.985, 0.626], [0.678, 0.664, 0.126], [0.985, 0.322, 0.126], [0.985, 0.664, 0.374], [0.015, 0.336, 0.626], [0.015, 0.678, 0.874], [0.678, 0.015, 0.374], [0.664, 0.678, 0.626], [0.336, 0.015, 0.126], [0.336, 0.322, 0.374], [0.333, 0.667, 0.250], [0.667, 0.333, 0.750], [0.333, 0.667, 0.750], [0.667, 0.333, 0.250], [0.000, 0.000, 0.500], [0.000, 0.000, 0.000]]}

=====

4.
{"formula": "Pm2CoAuO6", "functional": "PBE+U", "state": "relaxed", "magmom_total_mub_per_cell": 3.2, "spacegroup": "P4mm", "e_tot_ev_per_atom": -6.487, "cell": [[4.792, 0.000, 0.000], [0.000, 5.439, 0.000], [0.000, 0.000, 5.439]], "species": ["O", "O", "O", "O", "O", "O", "Au", "Pm", "Pm", "Co"], "fractional_positions": [[0.722, 0.735, 0.735], [0.186, 0.500, 0.500], [0.722, 0.265, 0.735], [0.149, 0.000, 0.000], [0.722, 0.265, 0.265], [0.722, 0.735, 0.265], [0.637, 0.000, 0.000], [0.012, 0.000, 0.500], [0.012, 0.500, 0.000], [0.561, 0.500, 0.500]]}

=====

5.
{"formula": "PuCo2AuO8", "functional": "PBE+U", "state": "relaxed", "magmom_total_mub_per_cell": 7.0, "spacegroup": "I-4m2", "e_tot_ev_per_atom": -6.556, "cell": [[5.823, 0.460, 0.000], [-2.170, 5.423, 0.000], [-1.826, -2.941, 4.704]], "species": ["O", "O", "O", "O", "O", "O", "O", "O", "Co", "Co", "Pu", "Au"], "fractional_positions": [[0.357, 0.049, 0.308], [0.951, 0.260, 0.308], [0.951, 0.643, 0.692], [0.740, 0.049, 0.692], [0.889, 0.671, 0.218], [0.329, 0.111, 0.782], [0.329, 0.547, 0.218], [0.453, 0.671, 0.782], [0.750, 0.250, 0.500], [0.500, 0.500, 0.000], [0.250, 0.750, 0.500], [0.000, 0.000, 0.000]]}

=====

6.
{"formula": "CoReAu2O", "functional": "PBE+U", "state": "relaxed", "magmom_total_mub_per_cell": 5.8, "spacegroup": "P4/mmm", "e_tot_ev_per_atom": -4.991, "cell": [[5.014, 0.000, 0.000], [0.000, 3.380, 0.000], [0.000, 0.000, 5.014]], "species": ["Co", "Au", "Au", "Re", "O"], "fractional_positions": [[0.000, 0.000, 0.000], [0.500, 0.000, 0.000], [0.000, 0.000, 0.500], [0.500, 0.500, 0.500], [0.000, 0.500, 0.000]]}

=====

7.
{"formula": "Sr2CoAuO4", "functional": "PBE+U", "state": "relaxed", "magmom_total_mub_per_cell": 3.9, "spacegroup": "I-4", "e_tot_ev_per_atom": -5.431, "cell": [[5.439, 0.222, 0.340], [-2.116, 5.015, -0.340], [-2.116, -2.330, 4.454]], "species": ["O", "O", "O", "O", "Sr", "Sr", "Au", "Co"], "fractional_positions": [[0.867, 0.603, 0.126], [0.524, 0.264, 0.397], [0.133, 0.260, 0.736], [0.476, 0.874, 0.740], [0.500, 0.750, 0.250], [0.000, 0.000, 0.000], [0.000, 0.500, 0.500], [0.500, 0.250, 0.750]]}

=====

8.
{"formula": "CoTc2AuO", "functional": "PBE+U", "state": "relaxed", "magmom_total_mub_per_cell": 2.9, "spacegroup": "P4/mmm", "e_tot_ev_per_atom": -6.241, "cell": [[3.932, 0.000, 0.000], [0.000, 4.847, 0.000], [0.000, 0.000, 3.932]], "species": ["Au", "O", "Tc", "Tc", "Co"], "fractional_positions": [[0.000, 0.500, 0.000], [0.000, 0.000, 0.000], [0.500, 0.000, 0.000], [0.000, 0.000, 0.500], [0.500, 0.500, 0.500]]}